# 1
Below is Ga3HgB after structural relaxation, with properties calculated at the PBE-GGA level.

Results
* final energy: -9.12 eV/cell
* formation enthalpy at 0 K: 1388 meV/atom
* space-group type: Pm-3m
* ρ: 5.09 g/cm³
* DOS(E_F): 0.9365 states/eV/atom
* total magnetization: 0.0 μB per cell
* polymorph energy (0 for the lowest one): 1.026 eV per atom

Geometry as CIF:
```
data_Ga3HgB
_symmetry_space_group_name_H-M 'P 1'
_symmetry_Int_Tables_number 1
_cell_length_a 5.1569
_cell_length_b 5.1569
_cell_length_c 5.1569
_cell_angle_alpha 90.00
_cell_angle_beta 90.00
_cell_angle_gamma 90.00
loop_
_symmetry_equiv_pos_as_xyz
'x,y,z'
loop_
_atom_site_label
_atom_site_fract_x
_atom_site_fract_y
_atom_site_fract_z
Ga1 0.0000 0.0000 0.5000
Ga2 0.0000 0.5000 0.0000
Ga3 0.5000 0.0000 0.0000
Hg1 0.0000 0.0000 0.0000
B1 0.5000 0.5000 0.5000
```

# 2
Below is RbTi2PF after structural relaxation, with properties calculated at the PBE-GGA level.

Results
* final energy: -23.74 eV/cell
* space-group type: P4/mmm
* ρ: 3.62 g/cm³
* DOS(E_F): 0.9316 states/eV/atom
* total magnetization: 2.7 μB per cell
* E_form (uncorrected): 60 meV/atom

Geometry as CIF:
```
data_RbTi2PF
_symmetry_space_group_name_H-M 'P 1'
_symmetry_Int_Tables_number 1
_cell_length_a 4.3432
_cell_length_b 4.3432
_cell_length_c 5.6262
_cell_angle_alpha 90.00
_cell_angle_beta 90.00
_cell_angle_gamma 90.00
loop_
_symmetry_equiv_pos_as_xyz
'x,y,z'
loop_
_atom_site_label
_atom_site_fract_x
_atom_site_fract_y
_atom_site_fract_z
Rb1 0.0000 0.0000 0.0000
Ti1 0.0000 0.5000 0.5000
Ti2 0.5000 0.0000 0.5000
P1 0.5000 0.5000 0.0000
F1 0.5000 0.5000 0.5000
```

# 3
Below is Sc2CdTe after structural relaxation, with properties calculated at the PBE-GGA level.

Results
* final energy: -17.61 eV/cell
* space-group type: R3m
* ρ: 5.28 g/cm³
* DOS(E_F): 0.6442 states/eV/atom
* total magnetization: 0.9 μB per cell
* E_form (uncorrected): -221 meV/atom
* polymorph energy (0 for the lowest one): 0.356 eV per atom

Geometry as CIF:
```
data_Sc2CdTe
_symmetry_space_group_name_H-M 'P 1'
_symmetry_Int_Tables_number 1
_cell_length_a 9.8677
_cell_length_b 9.8677
_cell_length_c 9.8677
_cell_angle_alpha 20.56
_cell_angle_beta 20.56
_cell_angle_gamma 20.56
loop_
_symmetry_equiv_pos_as_xyz
'x,y,z'
loop_
_atom_site_label
_atom_site_fract_x
_atom_site_fract_y
_atom_site_fract_z
Sc1 0.0000 0.0000 0.0000
Sc2 0.2466 0.2466 0.2466
Cd1 0.4973 0.4973 0.4973
Te1 0.7400 0.7400 0.7400
```

# 4
Below is AcGd2Ge after structural relaxation, with properties calculated at the PBE-GGA level.

Results
* final energy: -38.23 eV/cell
* formation enthalpy at 0 K: -335 meV/atom
* space-group type: P4/mmm
* ρ: 8.38 g/cm³
* DOS(E_F): 1.3168 states/eV/atom
* total magnetization: 15.3 μB per cell
* polymorph energy (0 for the lowest one): 0.000 eV per atom

Geometry as CIF:
```
data_AcGd2Ge
_symmetry_space_group_name_H-M 'P 1'
_symmetry_Int_Tables_number 1
_cell_length_a 3.8347
_cell_length_b 3.8347
_cell_length_c 8.2737
_cell_angle_alpha 90.00
_cell_angle_beta 90.00
_cell_angle_gamma 90.00
loop_
_symmetry_equiv_pos_as_xyz
'x,y,z'
loop_
_atom_site_label
_atom_site_fract_x
_atom_site_fract_y
_atom_site_fract_z
Ac1 0.0000 0.0000 0.0000
Gd1 0.5000 0.5000 0.3170
Gd2 0.5000 0.5000 0.6830
Ge1 0.0000 0.0000 0.5000
```

# 5
Below is AsOsBr2 after structural relaxation, with properties calculated at the PBE-GGA level.

Results
* final energy: -17.21 eV/cell
* space-group type: Imm2
* ρ: 7.47 g/cm³
* DOS(E_F): 0.5685 states/eV/atom
* total magnetization: 0.0 μB per cell
* E_form (uncorrected): 505 meV/atom
* polymorph energy (0 for the lowest one): 0.415 eV per atom

Geometry as CIF:
```
data_AsOsBr2
_symmetry_space_group_name_H-M 'P 1'
_symmetry_Int_Tables_number 1
_cell_length_a 6.8456
_cell_length_b 6.8456
_cell_length_c 6.8456
_cell_angle_alpha 153.69
_cell_angle_beta 138.15
_cell_angle_gamma 50.11
loop_
_symmetry_equiv_pos_as_xyz
'x,y,z'
loop_
_atom_site_label
_atom_site_fract_x
_atom_site_fract_y
_atom_site_fract_z
As1 0.0000 0.0000 0.0000
Os1 0.8514 0.3514 0.5000
Br1 0.3557 0.8557 0.5000
Br2 0.6649 0.6649 0.0000
```

# 6
Below is PmNi2Sb after structural relaxation, with properties calculated at the PBE-GGA level.

Results
* final energy: -21.12 eV/cell
* space-group type: P4/mmm
* ρ: 8.44 g/cm³
* DOS(E_F): 0.7212 states/eV/atom
* total magnetization: 0.0 μB per cell
* E_form (uncorrected): -172 meV/atom

Geometry as CIF:
```
data_PmNi2Sb
_symmetry_space_group_name_H-M 'P 1'
_symmetry_Int_Tables_number 1
_cell_length_a 3.4689
_cell_length_b 3.4689
_cell_length_c 6.2799
_cell_angle_alpha 90.00
_cell_angle_beta 90.00
_cell_angle_gamma 90.00
loop_
_symmetry_equiv_pos_as_xyz
'x,y,z'
loop_
_atom_site_label
_atom_site_fract_x
_atom_site_fract_y
_atom_site_fract_z
Pm1 0.0000 0.0000 0.0000
Ni1 0.5000 0.5000 0.2876
Ni2 0.5000 0.5000 0.7124
Sb1 0.0000 0.0000 0.5000
```

# 7
Below is Cu2Ag3Br6 after structural relaxation, with properties calculated at the PBE-GGA level.

Results
* final energy: -30.01 eV/cell
* space-group type: P-3
* ρ: 4.65 g/cm³
* DOS(E_F): 0.6733 states/eV/atom
* total magnetization: 0.0 μB per cell
* E_form (uncorrected): -294 meV/atom

Geometry as CIF:
```
data_Cu2Ag3Br6
_symmetry_space_group_name_H-M 'P 1'
_symmetry_Int_Tables_number 1
_cell_length_a 7.2304
_cell_length_b 7.2304
_cell_length_c 7.3312
_cell_angle_alpha 90.00
_cell_angle_beta 90.00
_cell_angle_gamma 120.00
loop_
_symmetry_equiv_pos_as_xyz
'x,y,z'
loop_
_atom_site_label
_atom_site_fract_x
_atom_site_fract_y
_atom_site_fract_z
Cu1 0.3333 0.6667 0.2109
Cu2 0.6667 0.3333 0.7891
Ag1 0.0000 0.0000 0.0000
Ag2 0.3333 0.6667 0.8218
Ag3 0.6667 0.3333 0.1782
Br1 0.0250 0.6969 0.2339
Br2 0.3031 0.3281 0.2339
Br3 0.3281 0.0250 0.7661
Br4 0.6719 0.9750 0.2339
Br5 0.6969 0.6719 0.7661
Br6 0.9750 0.3031 0.7661
```

# 8
Below is La2TcSe after structural relaxation, with properties calculated at the PBE-GGA level.

Results
* final energy: -26.27 eV/cell
* space-group type: Cmmm
* ρ: 7.48 g/cm³
* DOS(E_F): 1.2347 states/eV/atom
* total magnetization: 0.0 μB per cell
* E_form (uncorrected): -640 meV/atom

Geometry as CIF:
```
data_La2TcSe
_symmetry_space_group_name_H-M 'P 1'
_symmetry_Int_Tables_number 1
_cell_length_a 3.6359
_cell_length_b 3.6359
_cell_length_c 7.7617
_cell_angle_alpha 90.00
_cell_angle_beta 90.00
_cell_angle_gamma 100.29
loop_
_symmetry_equiv_pos_as_xyz
'x,y,z'
loop_
_atom_site_label
_atom_site_fract_x
_atom_site_fract_y
_atom_site_fract_z
La1 0.0000 0.0000 0.2340
La2 0.0000 0.0000 0.7660
Tc1 0.5000 0.5000 0.0000
Se1 0.5000 0.5000 0.5000
```

# 9
Below is La7Sm4Sc after structural relaxation, with properties calculated at the PBE-GGA level.

Results
* final energy: -59.17 eV/cell
* formation enthalpy at 0 K: 44 meV/atom
* space-group type: P1
* ρ: 6.39 g/cm³
* DOS(E_F): 1.6874 states/eV/atom
* total magnetization: 0.0 μB per cell

Geometry as CIF:
```
data_La7Sm4Sc
_symmetry_space_group_name_H-M 'P 1'
_symmetry_Int_Tables_number 1
_cell_length_a 5.9178
_cell_length_b 7.3851
_cell_length_c 9.7972
_cell_angle_alpha 79.40
_cell_angle_beta 89.92
_cell_angle_gamma 89.98
loop_
_symmetry_equiv_pos_as_xyz
'x,y,z'
loop_
_atom_site_label
_atom_site_fract_x
_atom_site_fract_y
_atom_site_fract_z
La1 0.0000 0.0000 0.0000
La2 0.0001 0.1562 0.3228
La3 0.0005 0.6756 0.3253
La4 0.0007 0.3318 0.6564
La5 0.5005 0.1074 0.5429
La6 0.5001 0.4421 0.2155
La7 0.5007 0.7778 0.8825
Sm1 0.0002 0.5000 0.9906
Sm2 0.0003 0.8321 0.6633
Sm3 0.5004 0.2772 0.8838
Sm4 0.5005 0.6170 0.5469
Sc1 0.5003 0.9442 0.2139
```

# 10
Below is Tb6Dy3ErTh2 after structural relaxation, with properties calculated at the PBE-GGA level.

Results
* final energy: -60.70 eV/cell
* formation enthalpy at 0 K: 24 meV/atom
* space-group type: C2/m
* ρ: 9.02 g/cm³
* DOS(E_F): 1.3718 states/eV/atom
* total magnetization: 0.0 μB per cell

Geometry as CIF:
```
data_Tb6Dy3ErTh2
_symmetry_space_group_name_H-M 'P 1'
_symmetry_Int_Tables_number 1
_cell_length_a 6.1574
_cell_length_b 6.1574
_cell_length_c 11.7949
_cell_angle_alpha 95.00
_cell_angle_beta 95.00
_cell_angle_gamma 119.96
loop_
_symmetry_equiv_pos_as_xyz
'x,y,z'
loop_
_atom_site_label
_atom_site_fract_x
_atom_site_fract_y
_atom_site_fract_z
Tb1 0.0809 0.4170 0.7521
Tb2 0.2467 0.2467 0.2483
Tb3 0.4170 0.0809 0.7521
Tb4 0.5830 0.9191 0.2479
Tb5 0.7533 0.7533 0.7517
Tb6 0.9191 0.5830 0.2479
Dy1 0.0000 0.0000 0.5000
Dy2 0.3335 0.6665 0.5000
Dy3 0.6665 0.3335 0.5000
Er1 0.5000 0.5000 0.0000
Th1 0.1665 0.8335 0.0000
Th2 0.8335 0.1665 0.0000
```

# 11
Below is Co2NiIr2 after structural relaxation, with properties calculated at the PBE-GGA level.

Results
* final energy: -75.22 eV/cell
* formation enthalpy at 0 K: 21 meV/atom
* space-group type: P-1
* ρ: 14.87 g/cm³
* DOS(E_F): 1.3844 states/eV/atom
* total magnetization: 8.4 μB per cell
* polymorph energy (0 for the lowest one): 0.000 eV per atom

Geometry as CIF:
```
data_Co2NiIr2
_symmetry_space_group_name_H-M 'P 1'
_symmetry_Int_Tables_number 1
_cell_length_a 4.5575
_cell_length_b 4.9596
_cell_length_c 6.1757
_cell_angle_alpha 104.55
_cell_angle_beta 111.26
_cell_angle_gamma 90.07
loop_
_symmetry_equiv_pos_as_xyz
'x,y,z'
loop_
_atom_site_label
_atom_site_fract_x
_atom_site_fract_y
_atom_site_fract_z
Co1 0.0181 0.4532 0.2025
Co2 0.3853 0.3612 0.6037
Co3 0.6147 0.6388 0.3963
Co4 0.9819 0.5468 0.7975
Ni1 0.4158 0.2614 0.0024
Ni2 0.5842 0.7386 0.9976
Ir1 0.1901 0.9455 0.1972
Ir2 0.2194 0.8500 0.6057
Ir3 0.7806 0.1500 0.3943
Ir4 0.8099 0.0545 0.8028
```

# 12
Below is Ba3CeAl8 after structural relaxation, with properties calculated at the PBE-GGA level.

Results
* final energy: -44.31 eV/cell
* formation enthalpy at 0 K: -222 meV/atom
* space-group type: R3m
* ρ: 4.33 g/cm³
* DOS(E_F): 1.0289 states/eV/atom
* total magnetization: 0.8 μB per cell

Geometry as CIF:
```
data_Ba3CeAl8
_symmetry_space_group_name_H-M 'P 1'
_symmetry_Int_Tables_number 1
_cell_length_a 10.2549
_cell_length_b 10.2549
_cell_length_c 10.2549
_cell_angle_alpha 33.60
_cell_angle_beta 33.60
_cell_angle_gamma 33.60
loop_
_symmetry_equiv_pos_as_xyz
'x,y,z'
loop_
_atom_site_label
_atom_site_fract_x
_atom_site_fract_y
_atom_site_fract_z
Ba1 0.0000 0.0000 0.0000
Ba2 0.1244 0.1244 0.1244
Ba3 0.4996 0.4996 0.4996
Ce1 0.6241 0.6241 0.6241
Al1 0.0521 0.5624 0.5624
Al2 0.0644 0.0644 0.5667
Al3 0.0644 0.5667 0.0644
Al4 0.3119 0.3119 0.3119
Al5 0.5624 0.0521 0.5624
Al6 0.5624 0.5624 0.0521
Al7 0.5667 0.0644 0.0644
Al8 0.8111 0.8111 0.8111
```